Material: CuSn2I6
Method: DFT, PBE-GGA
State: optimized geometry

a b c (Å): 7.255 7.255 13.462
angles (deg): 90.00 90.00 90.00
Element x y z (fractional)
1 Cu 0.000 0.000 0.000
2 Cu 0.500 0.500 0.500
3 Sn 0.000 0.000 0.336
4 Sn 0.000 0.000 0.664
5 Sn 0.500 0.500 0.164
6 Sn 0.500 0.500 0.836
7 I 0.190 0.190 0.150
8 I 0.190 0.190 0.850
9 I 0.213 0.213 0.500
10 I 0.287 0.713 0.000
11 I 0.310 0.690 0.350
12 I 0.310 0.690 0.650
13 I 0.690 0.310 0.350
14 I 0.690 0.310 0.650
15 I 0.713 0.287 0.000
16 I 0.787 0.787 0.500
17 I 0.810 0.810 0.150
18 I 0.810 0.810 0.850

Values from the calculation:
Uncorrected formation energy ... -0.30 eV per atom
SG ... P4_2/mnm, No. 136



Material: Pr2Dy5Ho3
Method: DFT, PBE-GGA
State: optimized geometry

a b c (Å): 12.308 12.308 12.308
angles (deg): 135.10 56.24 147.93
Element x y z (fractional)
1 Pr 0.125 0.104 0.229
2 Pr 0.375 0.604 0.979
3 Pr 0.625 0.396 0.021
4 Pr 0.875 0.896 0.771
5 Dy 0.001 0.750 0.251
6 Dy 0.125 0.412 0.537
7 Dy 0.250 0.750 0.500
8 Dy 0.375 0.912 0.287
9 Dy 0.499 0.750 0.749
10 Dy 0.501 0.250 0.251
11 Dy 0.625 0.088 0.713
12 Dy 0.750 0.250 0.500
13 Dy 0.875 0.588 0.463
14 Dy 0.999 0.250 0.749
15 Ho 0.125 0.750 0.874
16 Ho 0.250 0.250 0.000
17 Ho 0.375 0.250 0.625
18 Ho 0.625 0.750 0.375
19 Ho 0.750 0.750 0.000
20 Ho 0.875 0.250 0.126

Values from the calculation:
Energy of formation from the pure elements ... 409.1 meV per atom
Relative energy among the computed polymorphs ... 207 kJ/mol of formula units
SG ... Ibam, No. 72



Material: AlSi2W
Method: DFT, PBE-GGA
State: optimized geometry

a b c (Å): 2.830 2.830 7.506
angles (deg): 90.00 90.00 90.00
Element x y z (fractional)
1 Al 0.000 0.000 0.000
2 Si 0.500 0.500 0.263
3 Si 0.500 0.500 0.737
4 W 0.000 0.000 0.500

Values from the calculation:
Uncorrected formation energy ... 0.24 eV per atom
SG ... P4/mmm, No. 123